Compound: AgW2
Source: the Alexandria database
Functional: PBE
Structure: relaxed

The calculation puts the formation energy at 1.96 eV/atom. The space group is Pa-3 (205). Its density is 13.15 Mg/m³. The calculation puts the energy above the most stable polymorph in this dataset at 1454 meV per atom. For the total moment, the calculation gives 0.0 Bohr magnetons per cell. Its density of states at the Fermi level is 1.233 states/eV/atom.

Cell: 6.217 6.217 6.217 Å, 90.00 90.00 90.00°
Fractional coordinates of all 12 atoms:
W: 0.610 0.890 0.110
W: 0.610 0.610 0.610
W: 0.890 0.110 0.610
W: 0.390 0.110 0.890
W: 0.110 0.610 0.890
W: 0.390 0.390 0.390
W: 0.890 0.390 0.110
W: 0.110 0.890 0.390
Ag: 0.000 0.000 0.000
Ag: 0.000 0.500 0.500
Ag: 0.500 0.000 0.500
Ag: 0.500 0.500 0.000

***

Compound: Pa4ReI5
Source: the Alexandria database
Functional: PBE
Structure: relaxed

The uncorrected formation energy is -0.496 eV/atom. The space group is C2/m (12). Its density is 8.83 Mg/m³. For the total moment, the calculation gives 2.9 Bohr magnetons per cell. Its density of states at the Fermi level is 1.374 states/eV/atom.

Cell: 3.954 9.121 9.445 Å, 99.52 102.08 90.00°
Fractional coordinates of all 10 atoms:
Pa: 0.339 0.949 0.677
Pa: 0.001 0.802 0.001
Pa: 0.661 0.051 0.323
Pa: 0.999 0.198 0.999
I: 0.170 0.783 0.340
I: 0.832 0.671 0.664
I: 0.500 0.500 0.000
I: 0.830 0.217 0.660
I: 0.168 0.329 0.336
Re: 0.500 0.000 0.000

***

Compound: SrTlTe4
Source: the Alexandria database
Functional: PBE
Structure: relaxed

The uncorrected formation energy is -0.254 eV/atom. The space group is F-43m (216). Its density is 6.60 Mg/m³. For the total moment, the calculation gives 0.0 Bohr magnetons per cell. Its density of states at the Fermi level is 0.797 states/eV/atom.

Cell: 6.585 6.585 6.585 Å, 60.00 60.00 60.00°
Fractional coordinates of all 6 atoms:
Tl: 0.750 0.750 0.750
Te: 0.375 0.375 0.875
Te: 0.375 0.875 0.375
Te: 0.875 0.375 0.375
Te: 0.375 0.375 0.375
Sr: 0.000 0.000 0.000

***

> density of number 1 (AgW2)?

13.15 Mg/m³

***

> total moment of number 3 (SrTlTe4)?

0.0 Bohr magnetons per cell